! Cd2InHg2Bi2 PBE relaxed; values from VASP
! DOS(E_F) ... 0.4543 states/eV/atom
! E_tot ... -0.13051 Ry/atom
! M_tot ... 0.00 μB/f.u.
! Symmetry ... R-3m, No. 166
! Energy of formation ... 0.07 eV/atom
&SYSTEM
  ibrav = 0, nat = 7, ntyp = 4
/
ATOMIC_SPECIES
Cd 112.41 Cd.upf
In 114.82 In.upf
Hg 200.59 Hg.upf
Bi 208.98 Bi.upf
CELL_PARAMETERS angstrom
2.715 1.568 7.527
-2.715 1.568 7.527
0.000 -3.135 7.527
ATOMIC_POSITIONS crystal
Cd 0.068 0.068 0.068
Cd 0.932 0.932 0.932
In 0.500 0.500 0.500
Hg 0.360 0.360 0.360
Hg 0.640 0.640 0.640
Bi 0.221 0.221 0.221
Bi 0.779 0.779 0.779